# 1
This record from Alexandria via LeMat-Bulk describes a relaxed structure of Pr8SiRh3Cl4. The functional is PBE.

Lattice parameters (Å, degrees): 8.385 8.882 8.384 118.20 120.00 90.00
Positions (direct):
1 Si 0.000 0.500 0.000
2 Pr 0.263 0.289 0.526
3 Pr 0.273 0.291 0.032
4 Pr 0.759 0.291 0.032
5 Pr 0.241 0.709 0.968
6 Pr 0.737 0.711 0.474
7 Cl 0.500 0.000 0.500
8 Rh 0.500 0.500 0.000
9 Pr 0.727 0.709 0.968
10 Rh 0.500 0.500 0.500
11 Pr 0.241 0.709 0.482
12 Cl 0.000 0.000 0.000
13 Cl 0.500 0.000 0.000
14 Pr 0.759 0.291 0.518
15 Cl 0.000 0.000 0.500
16 Rh 0.000 0.500 0.500

ΔE_f (raw)   -1.1069 eV/atom
Density of states at the Fermi level   0.790 states/eV/atom
Electronic total energy   -90.81 eV for the cell shown



# 2
This record from Alexandria via LeMat-Bulk describes a relaxed structure of Pr4SiRhCl2. The functional is PBE.

Lattice parameters (Å, degrees): 4.134 7.521 7.554 72.58 90.00 90.00
Positions (direct):
1 Rh 0.500 0.500 0.000
2 Cl 0.000 0.000 0.000
3 Si 0.000 0.500 0.500
4 Pr 0.500 0.718 0.253
5 Pr 0.000 0.713 0.769
6 Pr 0.000 0.287 0.231
7 Pr 0.500 0.282 0.747
8 Cl 0.500 0.000 0.500

ΔE_f (raw)   -1.1117 eV/atom
Density of states at the Fermi level   0.832 states/eV/atom
Electronic total energy   -44.48 eV for the cell shown